# SrDy2S4

A relaxed structure of SrDy2S4 (PBE, Alexandria via LeMat-Bulk).

Calculated values
* energy: -169.30 eV per cell
* space group: No. 62
* magnetic moment: 0.000 μB per cell
* polymorph energy (0 for the lowest one): 0 meV/atom
* formation energy from raw total energies: -2.13 eV per atom

POSCAR file:
```
SrDy2S4
1.0
12.052 0.000 0.000
0.000 4.000 0.000
0.000 0.000 14.384
Sr Dy S
4 8 16
Direct
0.242 0.250 0.162
0.258 0.750 0.662
0.742 0.250 0.338
0.758 0.750 0.838
0.067 0.250 0.390
0.081 0.250 0.899
0.419 0.750 0.399
0.433 0.750 0.890
0.567 0.250 0.110
0.581 0.250 0.601
0.919 0.750 0.101
0.933 0.750 0.610
0.023 0.750 0.784
0.086 0.250 0.578
0.130 0.750 0.027
0.207 0.750 0.326
0.293 0.250 0.826
0.370 0.250 0.527
0.414 0.750 0.078
0.477 0.250 0.284
0.523 0.750 0.716
0.586 0.250 0.922
0.630 0.750 0.473
0.707 0.750 0.174
0.793 0.250 0.674
0.870 0.250 0.973
0.914 0.750 0.422
0.977 0.250 0.216
```